Entry from Alexandria via LeMat-Bulk: a geometry-optimized Tb5Y4Er structure (PBE).

POSCAR file:
```
Tb5Y4Er
1.0
5.914 0.000 0.000
2.957 7.481 0.000
2.957 0.000 7.481
Er Y Tb
1 4 5
Cartesian
1.283 0.000 0.000
5.616 5.073 2.408
5.616 2.408 5.073
2.659 2.408 2.408
8.573 5.073 5.073
8.586 7.481 2.814
4.065 0.000 0.000
2.672 0.000 4.667
5.629 4.667 7.481
5.629 2.814 0.000
```

Computed properties:
- total magnetization (μB per formula unit) = 0.000
- calculated formation energy (eV/f.u.) = 2.495
- E above lowest polymorph (meV/atom) = 192

Entry from Alexandria via LeMat-Bulk: a geometry-optimized PuHfPd structure (PBE).

POSCAR file:
```
PuHfPd
1.0
-1.614 -2.127 -1.939
2.289 0.400 -2.344
2.797 -3.610 4.440
Pd Pu Hf
1 1 1
Cartesian
1.490 -2.509 -1.296
0.028 -0.041 0.021
1.954 -2.788 1.432
```

Computed properties:
- total magnetization (μB per formula unit) = 5.550
- calculated formation energy (eV/f.u.) = -0.786
- E above lowest polymorph (meV/atom) = 0

Entry from Alexandria via LeMat-Bulk: a geometry-optimized Ti2TlPb structure (PBE).

POSCAR file:
```
Ti2TlPb
1.0
0.000 3.478 3.478
3.478 0.000 3.478
3.478 3.478 0.000
Ti Tl Pb
2 1 1
Cartesian
1.739 1.739 1.739
5.217 5.217 5.217
0.000 0.000 0.000
3.478 3.478 3.478
```

Computed properties:
- total magnetization (μB per formula unit) = 2.555
- calculated formation energy (eV/f.u.) = 0.983
- E above lowest polymorph (meV/atom) = 106

Entry from Alexandria via LeMat-Bulk: a geometry-optimized GdSn3H structure (PBE).

POSCAR file:
```
GdSn3H
1.0
-3.259 2.408 2.512
-2.541 -3.998 0.536
2.378 -0.973 4.016
H Sn Gd
1 3 1
Cartesian
0.000 0.000 0.000
-1.271 -1.999 0.268
1.189 -0.486 2.008
-1.629 1.204 1.256
-1.711 -1.281 3.532
```

Computed properties:
- total magnetization (μB per formula unit) = 6.904

| no. | V (Å³/f.u.) | DFT total energy (eV per atom) |
| --- | --- | --- |
| 1 | 331 | -5.108 |
| 2 | 65 | -10.088 |
| 3 | 84 | -5.220 |
| 4 | 108 | -6.100 |